Computed, not measured: crystalline BaCa at its relaxed geometry at the PBEsol level of DFT.

It has space group P-3m1 (No. 164), with a = 4.0898 Å, b = 4.0898 Å, c = 13.4173 Å, α = 90.00°, β = 90.00° and γ = 120.00°. Symmetry generates all atoms from Ba at (0.3333, 0.6667, 0.1344) and Ca at (0.3333, 0.6667, 0.6154).

Its formation enthalpy at 0 K is 0.1 eV per formula unit. The total magnetization is 0.00 μB/cell. The excess energy over the best structure of this formula in the dataset comes out at 29 meV/atom.


Computed, not measured: crystalline BaCa3 at its relaxed geometry at the PBEsol level of DFT.

It has space group Immm (No. 71), with a = 4.4560 Å, b = 6.3257 Å, c = 12.5603 Å, α = 90.00°, β = 90.00° and γ = 90.00°. Symmetry generates all atoms from Ba at (0.0000, 0.0000, 0.0000), Ca at (0.0000, 0.0000, 0.5000) and Ca at (0.0000, 0.5000, 0.2406).

Its formation enthalpy at 0 K is 0.1 eV per formula unit. The total magnetization is 0.00 μB/cell.


Computed, not measured: crystalline Ba5Ca at its relaxed geometry at the PBEsol level of DFT.

It has space group Cm (No. 8), with a = 15.8517 Å, b = 4.2569 Å, c = 10.1209 Å, α = 90.00°, β = 105.39° and γ = 90.00°. Symmetry generates all atoms from Ba at (0.0000, 0.0000, 0.0000), Ba at (0.0547, 0.0000, 0.5974), Ba at (0.2186, 0.5000, 0.9405), Ba at (0.3259, 0.0000, 0.6527), Ba at (0.3817, 0.0000, 0.2712) and Ca at (0.1635, 0.5000, 0.3246).

Its formation enthalpy at 0 K is 0.2 eV per formula unit. The total magnetization is 0.00 μB/cell. The excess energy over the best structure of this formula in the dataset comes out at 12 meV/atom.


| no. | V (A^3/atom) |
| --- | --- |
| 1 | 48.59 |
| 2 | 44.25 |
| 3 | 54.87 |